Below is a relaxed structure of HoEr2Zn4, with properties calculated at the PBE-GGA level.

For the formation energy, the calculation gives -1.10 eV per formula unit. The crystal system is tetragonal. The calculation puts the calculated density at 7.838 g/cm3. The value obtained for the total magnetization is 0.00 μB/atom.

It has space group I4/mmm (No. 139), with a = 5.091 Å, b = 5.091 Å, c = 12.445 Å, α = 90.00°, β = 90.00° and γ = 90.00°. Symmetry generates all atoms from Ho at (0.000, 0.000, 0.000), Er at (0.000, 0.000, 0.273) and Zn at (0.000, 0.500, 0.111).

Below is a relaxed structure of Y3Au5, with properties calculated at the PBE-GGA level.

For the formation energy, the calculation gives -5.53 eV per formula unit. The value obtained for the energy above the most stable polymorph in this dataset is 93.4 kJ/mol of formula units. The crystal system is hexagonal. The calculation puts the calculated density at 11.034 g/cm3. The value obtained for the total magnetization is 0.00 μB/atom.

It has space group P6_3/mcm (No. 193), with a = 8.5816 Å, b = 8.5816 Å, c = 5.9071 Å, α = 90.00°, β = 90.00° and γ = 120.00°. Symmetry generates all atoms from Y at (0.0000, 0.2969, 0.2500), Au at (0.0000, 0.3635, 0.7500) and Au at (0.3333, 0.6667, 0.0000).

Q: Which of these has the lowest calculated density?
A: HoEr2Zn4

Q: Which of these has the lowest calculated density?
A: HoEr2Zn4